(1)
# HfInP2O (PBE, relaxed)
data_HfInP2O
_chemical_formula_sum 'Hf1 In1 P2 O1'
_cell_length_a 5.204
_cell_length_b 5.204
_cell_length_c 3.961
_cell_angle_alpha 90.00
_cell_angle_beta 90.00
_cell_angle_gamma 90.00
_symmetry_space_group_name_H-M 'P 4/m m m'
_symmetry_Int_Tables_number 123
_symmetry_space_group_name_Hall '-P 4 2'
loop_
_atom_site_label
_atom_site_fract_x
_atom_site_fract_y
_atom_site_fract_z
Hf1 0.000 0.000 0.000
In1 0.500 0.500 0.500
P1 0.000 0.500 0.000
O1 0.000 0.000 0.500
# Formation energy without anion corrections: -0.644 eV/atom
# Size of the total moment: 0.00 μB per atom
# Energy: -6.34 eV/atom

=====

(2)
# Ca3Pd4Pb2 (PBE, relaxed)
data_Ca3Pd4Pb2
_chemical_formula_sum 'Ca6 Pd8 Pb4'
_cell_length_a 10.195
_cell_length_b 4.612
_cell_length_c 9.118
_cell_angle_alpha 90.00
_cell_angle_beta 94.79
_cell_angle_gamma 90.00
_symmetry_space_group_name_H-M 'C 1 2/m 1'
_symmetry_Int_Tables_number 12
loop_
_symmetry_equiv_pos_as_xyz
'x,y,z'
'-x,-y,-z'
'-x,y,-z'
'x,-y,z'
'x+1/2,y+1/2,z'
'-x+1/2,-y+1/2,-z'
'-x+1/2,y+1/2,-z'
'x+1/2,-y+1/2,z'
loop_
_atom_site_label
_atom_site_fract_x
_atom_site_fract_y
_atom_site_fract_z
Ca1 0.000 0.000 0.000
Ca2 0.129 0.500 0.393
Pd1 0.081 0.000 0.627
Pd2 0.220 0.500 0.089
Pb1 0.174 0.500 0.781
# Formation enthalpy at 0 K: -5.4 eV per formula unit
# Size of the total moment: 0.00 μB per atom
# Energy: -4.40 eV/atom